LaMgGe2Pt2, optimized geometry, DFT PBE; ρ = 9776 kg/m3; formation energy from the elements = -0.901 eV/atom; V = 118.7 Å³ per cell
1.0
4.386 0.000 0.000
-2.193 3.799 0.000
0.000 0.000 7.123
Pt Ge La Mg
2 2 1 1
Cartesian
0.000 2.532 2.231
2.193 1.266 4.891
0.000 2.532 5.075
2.193 1.266 2.047
0.000 0.000 0.000
0.000 0.000 3.561

=====

La2MgGe3Pt4, optimized geometry, DFT PBE; ρ = 10747 kg/m3; formation energy from the elements = -0.976 eV/atom; V = 200.9 Å³ per cell
1.0
-1.625 3.964 1.015
-4.088 -1.526 -0.586
-0.414 -2.727 9.989
Pt Ge La Mg
4 3 2 1
Cartesian
-2.195 -1.758 3.352
-2.857 1.219 0.215
-1.075 0.250 6.852
0.000 0.000 0.000
-0.207 -1.364 4.995
-1.174 -0.401 9.236
-2.096 -1.107 0.967
-2.356 -2.821 7.245
-0.914 1.313 2.958
-3.064 -0.145 5.209

=====

LaPuMgGe, optimized geometry, DFT PBE; ρ = 7629 kg/m3; formation energy from the elements = -0.215 eV/atom; V = 104.4 Å³ per cell
1.0
-1.935 4.339 2.318
-0.323 0.260 5.270
3.218 3.218 2.690
Ge Pu La Mg
1 1 1 1
Cartesian
0.480 3.908 5.139
0.240 1.954 2.569
0.720 5.863 7.708
0.000 0.000 0.000

=====

LaMg2GeRh2, optimized geometry, DFT PBE; ρ = 5817 kg/m3; formation energy from the elements = -0.390 eV/atom; V = 133.0 Å³ per cell
1.0
-2.917 -2.910 2.200
1.606 -3.553 -2.571
4.275 -1.109 4.203
Ge Rh La Mg
1 2 1 2
Cartesian
0.000 0.000 0.000
-1.459 -1.455 1.100
0.803 -1.777 -1.286
2.138 -0.555 2.102
0.390 -3.503 0.842
2.574 -4.070 2.989

=====

La2MgGe4Rh3, optimized geometry, DFT PBE; ρ = 7589 kg/m3; formation energy from the elements = -0.793 eV/atom; V = 197.2 Å³ per cell
1.0
4.333 0.000 0.000
0.000 4.333 0.000
0.000 0.000 10.506
Rh Mg Ge La
3 1 4 2
Cartesian
0.000 2.166 1.254
2.166 0.000 9.252
0.000 0.000 5.253
2.166 2.166 5.253
0.000 2.166 3.731
0.000 0.000 0.000
2.166 0.000 6.776
2.166 2.166 0.000
2.166 0.000 2.483
0.000 2.166 8.023

=====

LaMg2GeRh, optimized geometry, DFT PBE; ρ = 5241 kg/m3; formation energy from the elements = -0.423 eV/atom; V = 115.0 Å³ per cell
1.0
4.902 0.000 0.000
0.000 4.787 0.000
0.000 0.000 4.902
La Mg Rh Ge
1 2 1 1
Cartesian
2.451 2.393 2.451
2.451 0.000 0.000
0.000 0.000 2.451
0.000 0.000 0.000
0.000 2.393 0.000

=====

LaMgGe2Ru, optimized geometry, DFT PBE; ρ = 6785 kg/m3; formation energy from the elements = -0.524 eV/atom; V = 100.2 Å³ per cell
1.0
4.190 0.000 0.000
0.000 4.190 0.000
-2.095 -2.095 5.708
Mg La Ge Ru
1 1 2 1
Cartesian
2.095 0.000 2.854
0.000 0.000 0.000
2.095 2.095 1.316
0.000 0.000 4.392
0.000 2.095 2.854

=====

LaMgScGe2, optimized geometry, DFT PBE; ρ = 5100 kg/m3; formation energy from the elements = -0.709 eV/atom; V = 115.1 Å³ per cell
1.0
4.384 0.000 0.000
0.000 4.384 0.000
-2.192 -2.192 5.989
Sc Ge Mg La
1 2 1 1
Cartesian
0.000 2.192 2.994
0.000 0.000 4.675
2.192 2.192 1.313
2.192 0.000 2.994
0.000 0.000 0.000

=====

LaSmMgGe, optimized geometry, DFT PBE; ρ = 6024 kg/m3; formation energy from the elements = -0.385 eV/atom; V = 106.5 Å³ per cell
1.0
5.320 0.000 0.000
2.660 4.607 0.000
2.660 1.536 4.344
Mg Sm Ge La
1 1 1 1
Cartesian
7.980 4.607 3.258
0.000 0.000 0.000
2.660 1.536 1.086
5.320 3.071 2.172

=====

SrLa2Mg2Ge2, optimized geometry, DFT PBE; ρ = 4804 kg/m3; formation energy from the elements = -0.359 eV/atom; V = 193.3 Å³ per cell
1.0
4.778 0.000 0.000
2.389 4.138 0.000
2.389 1.379 9.780
La Ge Sr Mg
2 2 1 2
Cartesian
7.167 4.138 3.928
2.389 1.379 5.852
2.389 1.379 2.251
7.167 4.138 7.529
0.000 0.000 0.000
4.778 2.758 2.252
4.778 2.758 7.527

=====

LaTbMgGe, optimized geometry, DFT PBE; ρ = 6298 kg/m3; formation energy from the elements = -0.379 eV/atom; V = 104.1 Å³ per cell
1.0
5.280 0.000 0.000
2.640 4.573 0.000
2.640 1.524 4.311
Tb Ge Mg La
1 1 1 1
Cartesian
2.640 1.524 1.078
0.000 0.000 0.000
5.280 3.048 2.156
7.920 4.573 3.233

=====

LaMgTcGe2, optimized geometry, DFT PBE; ρ = 6628 kg/m3; formation energy from the elements = -0.396 eV/atom; V = 101.8 Å³ per cell
1.0
-3.235 0.279 2.645
-2.660 -0.349 -3.217
2.957 -5.737 0.905
Mg Ge Tc La
1 2 1 1
Cartesian
-1.326 -3.061 -1.299
-2.946 -1.362 -0.143
0.007 -4.445 0.477
-1.613 -2.746 1.632
0.000 0.000 0.000

=====

La2MgGeTe, optimized geometry, DFT PBE; ρ = 4477 kg/m3; energy = -3.96 eV/atom; V = 186.3 Å³ per cell
1.0
5.759 0.000 0.000
0.000 5.618 0.000
0.000 0.000 5.759
Te Mg Ge La
1 1 1 2
Cartesian
0.000 2.809 0.000
2.879 2.809 2.879
0.000 0.000 0.000
2.879 0.000 0.000
0.000 0.000 2.879

=====

LaMgTlGe, optimized geometry, DFT PBE; ρ = 7137 kg/m3; formation energy from the elements = -0.332 eV/atom; V = 102.4 Å³ per cell
1.0
-4.434 -1.520 -2.368
-2.040 -4.728 1.031
-4.450 -0.395 2.761
Ge Tl Mg La
1 1 1 1
Cartesian
0.000 0.000 0.000
-5.462 -3.322 0.712
-2.731 -1.661 0.356
-8.193 -4.982 1.068

=====

LaMgZn2Ge2, optimized geometry, DFT PBE; ρ = 6014 kg/m3; formation energy from the elements = -0.433 eV/atom; V = 121.3 Å³ per cell
1.0
4.438 0.000 0.000
-2.219 3.843 0.000
0.000 0.000 7.112
Ge La Mg Zn
2 1 1 2
Cartesian
0.000 2.562 1.920
2.219 1.281 5.192
0.000 0.000 0.000
0.000 0.000 3.556
2.219 1.281 2.249
0.000 2.562 4.863

=====

LaMgZnGe, optimized geometry, DFT PBE; ρ = 5532 kg/m3; formation energy from the elements = -0.386 eV/atom; V = 90.4 Å³ per cell
1.0
5.038 0.000 0.000
2.519 4.363 0.000
2.519 1.454 4.114
Mg Zn La Ge
1 1 1 1
Cartesian
5.038 2.909 2.057
7.558 4.363 3.085
0.000 0.000 0.000
2.519 1.454 1.028

=====

LaMnGe2, optimized geometry, DFT PBE; ρ = 6814 kg/m3; formation energy from the elements = -0.523 eV/atom; V = 330.6 Å³ per cell
1.0
4.151 0.000 0.000
0.000 7.560 0.000
0.000 0.000 10.535
Ge Mn La
8 4 4
Cartesian
1.038 2.199 9.870
3.113 5.361 0.665
1.038 5.979 5.932
3.113 1.581 4.602
1.038 6.345 2.018
1.038 2.565 3.249
3.113 4.995 7.286
3.113 1.215 8.517
1.038 3.892 1.096
3.113 3.668 9.438
1.038 0.112 4.171
3.113 7.448 6.364
3.113 4.832 3.900
3.113 1.052 1.368
1.038 6.508 9.167
1.038 2.728 6.635

=====

LaMn9Ge4, optimized geometry, DFT PBE; ρ = 7929 kg/m3; formation energy from the elements = -0.195 eV/atom; V = 387.0 Å³ per cell
1.0
7.021 0.000 -3.959
-2.232 6.657 -3.959
0.022 0.031 8.244
Mn La Ge
18 2 8
Cartesian
-0.782 6.293 -4.492
0.770 3.735 -0.497
1.589 4.588 -4.492
3.200 2.069 -3.426
3.601 3.692 -4.924
1.188 2.965 -2.994
5.570 0.363 -3.426
3.510 0.000 -1.979
-0.039 1.260 -0.965
4.890 1.918 -1.395
-1.116 3.328 -1.979
-0.079 4.770 1.722
1.008 6.281 -0.075
4.828 5.397 -6.952
-1.330 5.246 -0.497
3.803 0.407 0.402
4.041 2.952 0.823
6.141 1.441 0.823
3.603 5.008 -1.816
1.208 1.679 2.143
5.644 2.966 -3.439
2.367 4.647 1.236
0.352 5.368 -2.338
2.444 2.040 -0.909
1.259 0.393 5.195
4.459 1.319 2.665
3.552 6.294 -4.868
-0.833 3.721 3.766

=====

La2MnGe, optimized geometry, DFT PBE; ρ = 6131 kg/m3; formation energy from the elements = 0.122 eV/atom; V = 219.6 Å³ per cell
1.0
-1.737 -1.348 7.950
-5.414 -5.832 -2.172
-1.237 -5.811 3.023
La Ge Mn
4 2 2
Cartesian
-3.911 -5.267 0.396
-2.071 -3.024 5.449
-3.612 -7.054 4.433
-7.182 -10.638 7.325
0.000 0.000 0.000
-3.275 -5.375 6.931
-3.575 -3.590 2.889
-5.113 -7.617 1.870

=====

LaMn5Ge3, optimized geometry, DFT PBE; ρ = 7206 kg/m3; formation energy from the elements = -0.216 eV/atom; V = 291.1 Å³ per cell
1.0
3.870 0.000 0.000
-1.935 6.244 0.000
0.000 0.000 12.046
Ge La Mn
6 2 10
Cartesian
1.935 1.476 5.325
0.000 1.454 9.034
0.000 4.768 6.721
0.000 4.768 11.348
1.935 1.476 0.698
1.935 4.790 3.011
1.935 4.183 9.034
0.000 2.061 3.011
1.935 0.796 7.679
0.000 0.000 6.023
1.935 0.796 10.389
0.000 2.370 6.673
0.000 5.448 1.657
0.000 0.000 0.000
0.000 5.448 4.366
1.935 3.874 0.650
0.000 2.370 11.395
1.935 3.874 5.372